# meta-GGA SCAN CaSi2Tc, single point on PBEsol structure
data_CaSi2Tc
_chemical_formula_sum 'Ca4 Si8 Tc4'
_space_group_name_H-M_alt 'F m -3 m'
_space_group_IT_number 225
_space_group_name_Hall '-F 4 2 3'
_cell_length_a 6.282
_cell_length_b 6.282
_cell_length_c 6.282
_cell_angle_alpha 90.00
_cell_angle_beta 90.00
_cell_angle_gamma 90.00
loop_
_atom_site_label
_atom_site_type_symbol
_atom_site_fract_x
_atom_site_fract_y
_atom_site_fract_z
_atom_site_occupancy
Ca1 Ca 0.000 0.000 0.000 1
Si1 Si 0.250 0.250 0.250 1
Tc1 Tc 0.000 0.000 0.500 1
# Offset from the most stable computed form ... 0.0 meV per atom
# Formation energy (no corrections) ... 0.035 eV/atom
# Size of the total moment ... 0.00 μB per formula unit

# meta-GGA SCAN HfZrTc2Ru, single point on PBEsol structure
data_HfZrTc2Ru
_chemical_formula_sum 'Hf1 Zr1 Tc2 Ru1'
_space_group_name_H-M_alt 'P 4/m m m'
_space_group_IT_number 123
_space_group_name_Hall '-P 4 2'
_cell_length_a 4.620
_cell_length_b 4.620
_cell_length_c 4.702
_cell_angle_alpha 90.00
_cell_angle_beta 90.00
_cell_angle_gamma 90.00
loop_
_atom_site_label
_atom_site_type_symbol
_atom_site_fract_x
_atom_site_fract_y
_atom_site_fract_z
_atom_site_occupancy
Hf1 Hf 0.000 0.000 0.000 1
Zr1 Zr 0.500 0.500 0.000 1
Tc1 Tc 0.000 0.500 0.500 1
Ru1 Ru 0.000 0.000 0.500 1
# DFT formation energy ... 830 meV/atom
# Size of the total moment ... 0.00 μB per formula unit

# meta-GGA SCAN AsRhBr, single point on PBEsol structure
data_AsRhBr
_chemical_formula_sum 'As4 Rh4 Br4'
_space_group_name_H-M_alt 'F -4 3 m'
_space_group_IT_number 216
_space_group_name_Hall 'F -4 2 3'
_cell_length_a 6.186
_cell_length_b 6.186
_cell_length_c 6.186
_cell_angle_alpha 90.00
_cell_angle_beta 90.00
_cell_angle_gamma 90.00
loop_
_atom_site_label
_atom_site_type_symbol
_atom_site_fract_x
_atom_site_fract_y
_atom_site_fract_z
_atom_site_occupancy
As1 As 0.000 0.000 0.000 1
Rh1 Rh 0.000 0.000 0.500 1
Br1 Br 0.250 0.250 0.750 1
# Offset from the most stable computed form ... 1469.5 meV per atom
# Formation energy (no corrections) ... 1.125 eV/atom
# Size of the total moment ... 0.00 μB per formula unit

# meta-GGA SCAN Ce2BiO2, single point on PBEsol structure
data_Ce2BiO2
_chemical_formula_sum 'Ce4 Bi2 O4'
_space_group_name_H-M_alt 'I 4/m m m'
_space_group_IT_number 139
_space_group_name_Hall '-I 4 2'
_cell_length_a 3.973
_cell_length_b 3.973
_cell_length_c 12.781
_cell_angle_alpha 90.00
_cell_angle_beta 90.00
_cell_angle_gamma 90.00
loop_
_atom_site_label
_atom_site_type_symbol
_atom_site_fract_x
_atom_site_fract_y
_atom_site_fract_z
_atom_site_occupancy
Ce1 Ce 0.000 0.000 0.157 1
Bi1 Bi 0.000 0.000 0.500 1
O1 O 0.000 0.500 0.250 1
# Formation energy (no corrections) ... -2.842 eV/atom
# Size of the total moment ... 1.34 μB per formula unit

# meta-GGA SCAN TcAs2P, single point on PBEsol structure
data_TcAs2P
_chemical_formula_sum 'Tc2 As4 P2'
_space_group_name_H-M_alt 'C 1 m 1'
_space_group_IT_number 8
_space_group_name_Hall 'C -2y'
_cell_length_a 7.794
_cell_length_b 3.129
_cell_length_c 5.868
_cell_angle_alpha 90.00
_cell_angle_beta 98.24
_cell_angle_gamma 90.00
loop_
_atom_site_label
_atom_site_type_symbol
_atom_site_fract_x
_atom_site_fract_y
_atom_site_fract_z
_atom_site_occupancy
Tc1 Tc 0.000 0.000 0.000 1
As1 As 0.036 0.500 0.362 1
As2 As 0.278 0.000 0.735 1
P1 P 0.224 0.500 0.097 1
# DFT formation energy ... -34 meV/atom
# Size of the total moment ... 0.00 μB per formula unit

# meta-GGA SCAN SrZrMo2N, single point on PBEsol structure
data_SrZrMo2N
_chemical_formula_sum 'Sr1 Zr1 Mo2 N1'
_space_group_name_H-M_alt 'P 4/m m m'
_space_group_IT_number 123
_space_group_name_Hall '-P 4 2'
_cell_length_a 5.084
_cell_length_b 5.084
_cell_length_c 4.254
_cell_angle_alpha 90.00
_cell_angle_beta 90.00
_cell_angle_gamma 90.00
loop_
_atom_site_label
_atom_site_type_symbol
_atom_site_fract_x
_atom_site_fract_y
_atom_site_fract_z
_atom_site_occupancy
Sr1 Sr 0.000 0.000 0.000 1
Zr1 Zr 0.500 0.500 0.500 1
Mo1 Mo 0.000 0.500 0.500 1
N1 N 0.500 0.500 0.000 1
# Formation energy (no corrections) ... 1.429 eV/atom
# Size of the total moment ... 6.31 μB per formula unit

# meta-GGA SCAN LaHgRu, single point on PBEsol structure
data_LaHgRu
_chemical_formula_sum 'La2 Hg2 Ru2'
_space_group_name_H-M_alt 'I 4 m m'
_space_group_IT_number 107
_space_group_name_Hall 'I 4 -2'
_cell_length_a 3.395
_cell_length_b 3.395
_cell_length_c 11.331
_cell_angle_alpha 90.00
_cell_angle_beta 90.00
_cell_angle_gamma 90.00
loop_
_atom_site_label
_atom_site_type_symbol
_atom_site_fract_x
_atom_site_fract_y
_atom_site_fract_z
_atom_site_occupancy
La1 La 0.000 0.000 0.000 1
Hg1 Hg 0.000 0.000 0.713 1
Ru1 Ru 0.000 0.000 0.350 1
# DFT formation energy ... -64 meV/atom
# Size of the total moment ... 0.00 μB per formula unit

# meta-GGA SCAN In2FeSb, single point on PBEsol structure
data_In2FeSb
_chemical_formula_sum 'In4 Fe2 Sb2'
_space_group_name_H-M_alt 'I m m 2'
_space_group_IT_number 44
_space_group_name_Hall 'I 2 -2'
_cell_length_a 3.006
_cell_length_b 4.399
_cell_length_c 12.629
_cell_angle_alpha 90.00
_cell_angle_beta 90.00
_cell_angle_gamma 90.00
loop_
_atom_site_label
_atom_site_type_symbol
_atom_site_fract_x
_atom_site_fract_y
_atom_site_fract_z
_atom_site_occupancy
In1 In 0.000 0.000 0.000 1
In2 In 0.000 0.500 0.172 1
Fe1 Fe 0.000 0.000 0.490 1
Sb1 Sb 0.000 0.500 0.825 1
# Formation energy (no corrections) ... 0.278 eV/atom
# Size of the total moment ... 0.00 μB per formula unit

# meta-GGA SCAN CaFe2Rh, single point on PBEsol structure
data_CaFe2Rh
_chemical_formula_sum 'Ca4 Fe8 Rh4'
_space_group_name_H-M_alt 'F m -3 m'
_space_group_IT_number 225
_space_group_name_Hall '-F 4 2 3'
_cell_length_a 6.196
_cell_length_b 6.196
_cell_length_c 6.196
_cell_angle_alpha 90.00
_cell_angle_beta 90.00
_cell_angle_gamma 90.00
loop_
_atom_site_label
_atom_site_type_symbol
_atom_site_fract_x
_atom_site_fract_y
_atom_site_fract_z
_atom_site_occupancy
Ca1 Ca 0.000 0.000 0.000 1
Fe1 Fe 0.250 0.250 0.250 1
Rh1 Rh 0.000 0.000 0.500 1
# DFT formation energy ... 299 meV/atom
# Size of the total moment ... 6.41 μB per formula unit

# meta-GGA SCAN BeMoN2F, single point on PBEsol structure
data_BeMoN2F
_chemical_formula_sum 'Be1 Mo1 N2 F1'
_space_group_name_H-M_alt 'P 4/m m m'
_space_group_IT_number 123
_space_group_name_Hall '-P 4 2'
_cell_length_a 3.902
_cell_length_b 3.902
_cell_length_c 3.907
_cell_angle_alpha 90.00
_cell_angle_beta 90.00
_cell_angle_gamma 90.00
loop_
_atom_site_label
_atom_site_type_symbol
_atom_site_fract_x
_atom_site_fract_y
_atom_site_fract_z
_atom_site_occupancy
Be1 Be 0.000 0.000 0.000 1
Mo1 Mo 0.500 0.500 0.500 1
N1 N 0.000 0.500 0.500 1
F1 F 0.500 0.500 0.000 1
# Formation energy (no corrections) ... 0.152 eV/atom
# Size of the total moment ... 0.00 μB per formula unit

# meta-GGA SCAN Zn2AgMo, single point on PBEsol structure
data_Zn2AgMo
_chemical_formula_sum 'Zn2 Ag1 Mo1'
_space_group_name_H-M_alt 'P 4/m m m'
_space_group_IT_number 123
_space_group_name_Hall '-P 4 2'
_cell_length_a 4.016
_cell_length_b 4.016
_cell_length_c 3.639
_cell_angle_alpha 90.00
_cell_angle_beta 90.00
_cell_angle_gamma 90.00
loop_
_atom_site_label
_atom_site_type_symbol
_atom_site_fract_x
_atom_site_fract_y
_atom_site_fract_z
_atom_site_occupancy
Zn1 Zn 0.000 0.500 0.000 1
Ag1 Ag 0.000 0.000 0.500 1
Mo1 Mo 0.500 0.500 0.500 1
# DFT formation energy ... 203 meV/atom
# Offset from the most stable computed form ... 164.5 meV per atom
# Size of the total moment ... 0.00 μB per formula unit

# meta-GGA SCAN CuSnBi2Ir, single point on PBEsol structure
data_CuSnBi2Ir
_chemical_formula_sum 'Cu1 Sn1 Bi2 Ir1'
_space_group_name_H-M_alt 'P 4/m m m'
_space_group_IT_number 123
_space_group_name_Hall '-P 4 2'
_cell_length_a 5.239
_cell_length_b 5.239
_cell_length_c 4.751
_cell_angle_alpha 90.00
_cell_angle_beta 90.00
_cell_angle_gamma 90.00
loop_
_atom_site_label
_atom_site_type_symbol
_atom_site_fract_x
_atom_site_fract_y
_atom_site_fract_z
_atom_site_occupancy
Cu1 Cu 0.000 0.000 0.000 1
Sn1 Sn 0.500 0.500 0.000 1
Bi1 Bi 0.000 0.500 0.500 1
Ir1 Ir 0.000 0.000 0.500 1
# DFT formation energy ... 590 meV/atom
# Size of the total moment ... 0.00 μB per formula unit